Below is a relaxed structure of Ho2Tm5Th2, with properties calculated at the PBE level.

Unit cell a=14.735 b=11.770 c=6.558 alpha=90.00 beta=90.00 gamma=90.00
Space group Ima2 (No. 46)
Unique sites:
Ho 0.126 0.001 0.000 x8
Tm 0.053 0.745 0.840 x8
Tm 0.142 0.228 0.645 x8
Tm 0.250 0.734 0.649 x4
Th 0.000 0.000 0.534 x4
Th 0.250 0.001 0.465 x4

## Properties
magnetic moment = 0.0 μB per cell
formation enthalpy at 0 K = 245 meV/atom

=====

Below is a relaxed structure of Ba2SrRh, with properties calculated at the PBE level.

Unit cell a=8.305 b=8.305 c=8.305 alpha=90.00 beta=90.00 gamma=90.00
Space group Fm-3m (No. 225)
Unique sites:
Ba 0.250 0.250 0.250 x8
Sr 0.000 0.000 0.000 x4
Rh 0.000 0.000 0.500 x4

## Properties
magnetic moment = 0.0 μB per cell
formation enthalpy at 0 K = 270 meV/atom